# FeTc2Au PBE relaxed
data_FeTc2Au
_space_group_name_H-M_alt 'P 1'
_space_group_IT_number 1
_cell_length_a 4.3835
_cell_length_b 4.3835
_cell_length_c 4.3835
_cell_angle_alpha 60.00
_cell_angle_beta 60.00
_cell_angle_gamma 60.00
loop_
_space_group_symop_operation_xyz
'x,y,z'
loop_
_atom_site_label
_atom_site_fract_x
_atom_site_fract_y
_atom_site_fract_z
Au1 0.5000 0.5000 0.5000
Tc1 0.7500 0.7500 0.7500
Tc2 0.2500 0.2500 0.2500
Fe1 0.0000 0.0000 0.0000
# Theoretical density in Mg/m³: 12.51
# Space-group type: No. 225
# Total moment in Bohr magnetons per cell: 2.5
# Raw total energy in eV/atom: -7.625
# Offset from the most stable computed form in eV per formula unit: 1.20

***

# CeCuH8Rh4 PBE relaxed
data_CeCuH8Rh4
_space_group_name_H-M_alt 'P 1'
_space_group_IT_number 1
_cell_length_a 5.7475
_cell_length_b 5.7475
_cell_length_c 5.5651
_cell_angle_alpha 58.91
_cell_angle_beta 58.91
_cell_angle_gamma 60.00
loop_
_space_group_symop_operation_xyz
'x,y,z'
loop_
_atom_site_label
_atom_site_fract_x
_atom_site_fract_y
_atom_site_fract_z
Cu1 0.9956 0.9956 0.0133
Rh1 0.0015 0.0015 0.4917
H1 0.2217 0.2217 0.3350
H2 0.7655 0.7655 0.7035
Rh2 0.0015 0.5053 0.4917
H3 0.8614 0.2184 0.7018
Ce1 0.3877 0.3877 0.8370
Rh3 0.6330 0.6330 0.1011
H4 0.2184 0.2184 0.7018
H5 0.7181 0.7181 0.3099
H6 0.7181 0.2539 0.3099
H7 0.2184 0.8614 0.7018
Rh4 0.5053 0.0015 0.4917
H8 0.2539 0.7181 0.3099
# Theoretical density in Mg/m³: 8.10
# Space-group type: No. 160
# Total moment in Bohr magnetons per cell: 0.5
# Raw total energy in eV/atom: -4.906

***

# CsK2PuF8 PBE relaxed
data_CsK2PuF8
_space_group_name_H-M_alt 'P 1'
_space_group_IT_number 1
_cell_length_a 6.0834
_cell_length_b 6.0834
_cell_length_c 7.6376
_cell_angle_alpha 113.47
_cell_angle_beta 113.47
_cell_angle_gamma 90.00
loop_
_space_group_symop_operation_xyz
'x,y,z'
loop_
_atom_site_label
_atom_site_fract_x
_atom_site_fract_y
_atom_site_fract_z
Pu1 0.2500 0.7500 0.5000
F1 0.1365 0.6453 0.7011
F2 0.5646 0.6453 0.7011
K1 0.0000 0.0000 0.0000
F3 0.9442 0.8635 0.2989
Cs1 0.5000 0.5000 0.0000
F4 0.3547 0.4354 0.2989
K2 0.7500 0.2500 0.5000
F5 0.9442 0.4354 0.2989
F6 0.1365 0.0558 0.7011
F7 0.5646 0.0558 0.7011
F8 0.3547 0.8635 0.2989
# Theoretical density in Mg/m³: 4.32
# Space-group type: No. 119
# Total moment in Bohr magnetons per cell: 3.0
# Raw total energy in eV/atom: -5.725

***

# Rb6Ag3O PBE relaxed
data_Rb6Ag3O
_space_group_name_H-M_alt 'P 1'
_space_group_IT_number 1
_cell_length_a 8.3562
_cell_length_b 9.0507
_cell_length_c 12.0146
_cell_angle_alpha 90.00
_cell_angle_beta 86.85
_cell_angle_gamma 90.00
loop_
_space_group_symop_operation_xyz
'x,y,z'
loop_
_atom_site_label
_atom_site_fract_x
_atom_site_fract_y
_atom_site_fract_z
Ag1 0.5367 0.9179 0.7546
Rb1 0.1525 0.2691 0.0588
Rb2 0.2761 0.8391 0.0459
Rb3 0.6115 0.4600 0.2808
Rb4 0.1115 0.0400 0.7808
Ag2 0.0000 0.0000 0.5000
Rb5 0.6525 0.2309 0.5588
Ag3 0.0367 0.5821 0.2546
Rb6 0.3885 0.5400 0.7192
Ag4 0.9633 0.4179 0.7454
Rb7 0.7239 0.1609 0.9541
Ag5 0.4633 0.0821 0.2454
Rb8 0.2239 0.3391 0.4541
O1 0.5000 0.5000 0.5000
O2 0.0000 0.0000 0.0000
Rb9 0.8475 0.7309 0.9412
Rb10 0.3475 0.7691 0.4412
Ag6 0.5000 0.5000 0.0000
Rb11 0.8885 0.9600 0.2192
Rb12 0.7761 0.6609 0.5459
# Theoretical density in Mg/m³: 3.12
# Space-group type: No. 14
# Total moment in Bohr magnetons per cell: 0.0
# Raw total energy in eV/atom: -2.159

***

# Li2SnPd2 PBE relaxed
data_Li2SnPd2
_space_group_name_H-M_alt 'P 1'
_space_group_IT_number 1
_cell_length_a 3.5803
_cell_length_b 3.5803
_cell_length_c 7.0663
_cell_angle_alpha 75.33
_cell_angle_beta 75.33
_cell_angle_gamma 90.00
loop_
_space_group_symop_operation_xyz
'x,y,z'
loop_
_atom_site_label
_atom_site_fract_x
_atom_site_fract_y
_atom_site_fract_z
Pd1 0.3961 0.3961 0.2078
Li1 0.7500 0.2500 0.5000
Li2 0.2500 0.7500 0.5000
Pd2 0.6039 0.6039 0.7922
Sn1 0.0000 0.0000 0.0000
# Theoretical density in Mg/m³: 6.78
# Space-group type: No. 139
# Total moment in Bohr magnetons per cell: 0.0
# Raw total energy in eV/atom: -3.897
# Offset from the most stable computed form in eV per formula unit: 1.50

***

# Ca3TbHg12 PBE relaxed
data_Ca3TbHg12
_space_group_name_H-M_alt 'P 1'
_space_group_IT_number 1
_cell_length_a 4.6675
_cell_length_b 4.6675
_cell_length_c 18.7064
_cell_angle_alpha 90.00
_cell_angle_beta 90.00
_cell_angle_gamma 90.00
loop_
_space_group_symop_operation_xyz
'x,y,z'
loop_
_atom_site_label
_atom_site_fract_x
_atom_site_fract_y
_atom_site_fract_z
Hg1 0.5000 0.5000 0.2482
Hg2 0.5000 0.0000 0.6256
Hg3 0.5000 0.5000 0.0000
Hg4 0.0000 0.5000 0.6256
Hg5 0.5000 0.0000 0.3744
Hg6 0.0000 0.5000 0.8780
Hg7 0.0000 0.5000 0.1220
Hg8 0.0000 0.5000 0.3744
Tb1 0.0000 0.0000 0.0000
Hg9 0.5000 0.5000 0.7518
Ca1 0.0000 0.0000 0.2498
Ca2 0.0000 0.0000 0.7502
Hg10 0.5000 0.0000 0.8780
Hg11 0.5000 0.0000 0.1220
Ca3 0.0000 0.0000 0.5000
Hg12 0.5000 0.5000 0.5000
# Theoretical density in Mg/m³: 10.95
# Space-group type: No. 123
# Total moment in Bohr magnetons per cell: 0.0
# Raw total energy in eV/atom: -1.249

***

# Mg6Ga5Bi PBE relaxed
data_Mg6Ga5Bi
_space_group_name_H-M_alt 'P 1'
_space_group_IT_number 1
_cell_length_a 4.4219
_cell_length_b 7.1254
_cell_length_c 8.2794
_cell_angle_alpha 90.00
_cell_angle_beta 90.00
_cell_angle_gamma 71.92
loop_
_space_group_symop_operation_xyz
'x,y,z'
loop_
_atom_site_label
_atom_site_fract_x
_atom_site_fract_y
_atom_site_fract_z
Mg1 0.1699 0.6603 0.2655
Mg2 0.8302 0.3397 0.2655
Bi1 0.0000 0.0000 0.0000
Mg3 0.1698 0.6603 0.7345
Ga1 0.6642 0.6716 0.5000
Ga2 0.0000 0.0000 0.5000
Mg4 0.5000 0.0000 0.7305
Ga3 0.3358 0.3284 0.5000
Ga4 0.3175 0.3649 0.0000
Mg5 0.8301 0.3397 0.7345
Mg6 0.5000 0.0000 0.2695
Ga5 0.6825 0.6351 0.0000
# Theoretical density in Mg/m³: 4.71
# Space-group type: No. 65
# Total moment in Bohr magnetons per cell: 0.0
# Raw total energy in eV/atom: -2.495

***

# BaPrPdO4 PBE relaxed
data_BaPrPdO4
_space_group_name_H-M_alt 'P 1'
_space_group_IT_number 1
_cell_length_a 4.1173
_cell_length_b 4.1173
_cell_length_c 6.9735
_cell_angle_alpha 107.17
_cell_angle_beta 107.17
_cell_angle_gamma 90.00
loop_
_space_group_symop_operation_xyz
'x,y,z'
loop_
_atom_site_label
_atom_site_fract_x
_atom_site_fract_y
_atom_site_fract_z
Pr1 0.3652 0.3652 0.7304
Ba1 0.6440 0.6440 0.2880
O1 0.9829 0.4829 0.9657
O2 0.1804 0.1804 0.3607
O3 0.8408 0.8408 0.6816
Pd1 0.0040 0.0040 0.0079
O4 0.4829 0.9829 0.9657
# Theoretical density in Mg/m³: 6.94
# Space-group type: No. 107
# Total moment in Bohr magnetons per cell: 0.0
# Raw total energy in eV/atom: -6.574